A crystal of VHgSe2 relaxed with PBEsol, computed with meta-GGA SCAN.

Calculated values
Space-group type = No. 38
Magnetization = 0.97 μB per cell
ρ = 8.2 g cm⁻³
E_form (uncorrected) = -0.58 eV per atom

abc: 3.254 3.254 9.003
angles: 90.00 90.00 119.82
Last column: magnetic moment on the atom in μB.
Fractional coordinates of all 4 atoms:
V 0.870 0.130 0.500  1.07
Se 0.537 0.463 0.323  -0.10
Se 0.537 0.463 0.677  -0.10
Hg 0.190 0.810 0.000  -0.01